Entry 1:
Below is a relaxed Zr2TaIn crystal, with properties calculated at the PBEsol level.

DOS(E_F)	1.13	states/eV/atom
total magnetization	0.0	μB per formula unit
formation enthalpy at 0 K	2.27	kcal/mol of atoms

a b c (Å): 3.1303 3.1303 29.7088
angles (deg): 90.00 90.00 120.00
Space group R3m (No. 160, hexagonal axes)
One atom of each set of equivalent atoms:
Zr: 0.0000 0.0000 0.0000 [3 per cell]
Zr: 0.0000 0.0000 0.2476 [3 per cell]
Ta: 0.0000 0.0000 0.7475 [3 per cell]
In: 0.0000 0.0000 0.4952 [3 per cell]

***

Entry 2:
Below is a relaxed Zr2TaIn crystal, with properties calculated at the PBEsol level.

DOS(E_F)	1.00	states/eV/atom
total magnetization	0.0	μB per formula unit
formation enthalpy at 0 K	-3.65	kcal/mol of atoms

a b c (Å): 3.5133 3.5133 6.6550
angles (deg): 90.00 90.00 90.00
Space group P4/mmm (No. 123)
One atom of each set of equivalent atoms:
Zr: 0.0000 0.0000 0.2345 [2 per cell]
Ta: 0.5000 0.5000 0.0000 [1 per cell]
In: 0.5000 0.5000 0.5000 [1 per cell]

***

Entry 3:
Below is a relaxed Zr2TaIn crystal, with properties calculated at the PBEsol level.

DOS(E_F)	0.85	states/eV/atom
total magnetization	0.0	μB per formula unit
formation enthalpy at 0 K	-0.67	kcal/mol of atoms

a b c (Å): 3.2070 3.9016 6.5264
angles (deg): 90.00 90.00 90.00
Space group Pmm2 (No. 25)
One atom of each set of equivalent atoms:
Zr: 0.0000 0.0000 0.0000 [1 per cell]
Zr: 0.5000 0.5000 0.2642 [1 per cell]
Ta: 0.5000 0.5000 0.7599 [1 per cell]
In: 0.0000 0.0000 0.5198 [1 per cell]

***

Entry 4:
Below is a relaxed TbIn3 crystal, with properties calculated at the PBEsol level.

DOS(E_F)	0.47	states/eV/atom
total magnetization	0.0	μB per formula unit
formation enthalpy at 0 K	-11.26	kcal/mol of atoms

a b c (Å): 4.5557 4.5557 4.5557
angles (deg): 90.00 90.00 90.00
Space group Pm-3m (No. 221)
One atom of each set of equivalent atoms:
Tb: 0.0000 0.0000 0.0000 [1 per cell]
In: 0.0000 0.5000 0.5000 [3 per cell]

***

Entry 5:
Below is a relaxed In2Tc crystal, with properties calculated at the PBEsol level.

DOS(E_F)	1.21	states/eV/atom
total magnetization	0.0	μB per formula unit
formation enthalpy at 0 K	8.77	kcal/mol of atoms
energy above the most stable polymorph in this dataset	0.000	eV per atom

a b c (Å): 3.0725 3.0725 7.0330
angles (deg): 90.00 90.00 120.00
Space group P-3m1 (No. 164)
One atom of each set of equivalent atoms:
In: 0.3333 0.6667 0.1933 [2 per cell]
Tc: 0.0000 0.0000 0.5000 [1 per cell]

***

Entry 6:
Below is a relaxed In2Tc crystal, with properties calculated at the PBEsol level.

DOS(E_F)	0.58	states/eV/atom
total magnetization	0.0	μB per formula unit
formation enthalpy at 0 K	11.66	kcal/mol of atoms
energy above the most stable polymorph in this dataset	0.125	eV per atom

a b c (Å): 4.7539 4.7539 2.8042
angles (deg): 90.00 90.00 120.00
Space group P6/mmm (No. 191)
One atom of each set of equivalent atoms:
In: 0.3333 0.6667 0.0000 [2 per cell]
Tc: 0.0000 0.0000 0.5000 [1 per cell]